BaSn2HgTe4 | PBE | relaxed

Calculated values
Total magnetization, μB per formula unit: 0.00
ΔE_f (raw), eV per atom: -0.56
SG: Cmcm, No. 63
DOS at the Fermi energy, states/eV per atom: 0.04

Lattice parameters (Å, degrees): 8.0396 8.0396 16.0162 90.00 90.00 146.49
Element x y z (fractional)
Ba  0.1290  0.8710  0.7500
Ba  0.8710  0.1290  0.2500
Sn  0.3738  0.6262  0.5568
Sn  0.3738  0.6262  0.9432
Sn  0.6262  0.3738  0.0568
Sn  0.6262  0.3738  0.4432
Hg  0.1530  0.8470  0.2500
Hg  0.8470  0.1530  0.7500
Te  0.0000  0.0000  0.0000
Te  0.0000  0.0000  0.5000
Te  0.2711  0.7289  0.1113
Te  0.2711  0.7289  0.3887
Te  0.4559  0.5441  0.7500
Te  0.5441  0.4559  0.2500
Te  0.7289  0.2711  0.6113
Te  0.7289  0.2711  0.8887